Computed, not measured: an optimized crystal structure of Nd6Al43W4 at the PBEsol level of DFT.

a b c (Å): 11.0071 11.0071 17.8152
angles (deg): 90.00 90.00 120.00
Fractional coordinates of all 106 atoms:
Al  0.3333  0.6667  0.1264
Al  0.0000  0.7483  0.9693
Al  0.2354  0.8420  0.3351
Nd  0.5306  0.0000  0.0951
Al  0.2354  0.8420  0.1649
Al  0.1479  0.0000  0.2500
Nd  0.4694  0.0000  0.9049
W  0.0000  0.0000  0.0000
Al  0.8403  0.8403  0.6146
Nd  0.0000  0.5306  0.0951
Al  0.4939  0.2469  0.0000
Al  0.6067  0.8420  0.8351
Al  0.2469  0.4939  0.5000
Al  0.3933  0.1580  0.1649
Al  0.0000  0.1479  0.2500
Al  0.8403  0.0000  0.3854
Al  0.8420  0.6067  0.6649
Al  0.1597  0.1597  0.3854
Al  0.0000  0.8521  0.7500
Al  0.1597  0.0000  0.8854
Al  0.3333  0.6667  0.3736
Al  0.3333  0.6667  0.6264
Nd  0.5306  0.5306  0.9049
Al  0.8521  0.8521  0.2500
Al  0.5061  0.7531  0.0000
W  0.2683  0.2683  0.2500
Al  0.2469  0.4939  0.0000
Nd  0.0000  0.4694  0.9049
Al  0.1580  0.7646  0.6649
Al  0.4494  0.5968  0.7500
Al  0.4939  0.2469  0.5000
Nd  0.4694  0.4694  0.4049
Al  0.2517  0.2517  0.5307
Al  0.2517  0.0000  0.0307
Al  0.0000  0.2517  0.4693
Al  0.8521  0.0000  0.7500
Al  0.5968  0.1473  0.2500
Al  0.7531  0.2469  0.0000
Al  0.6667  0.3333  0.8736
W  0.7317  0.0000  0.2500
Al  0.8527  0.4032  0.7500
Al  0.0000  0.8403  0.1146
Al  0.5506  0.4032  0.2500
W  0.0000  0.0000  0.5000
Al  0.6667  0.3333  0.6264
Al  0.8527  0.4494  0.2500
Al  0.1580  0.3933  0.1649
Al  0.7483  0.7483  0.0307
Al  0.1473  0.5506  0.7500
Al  0.2354  0.3933  0.6649
Al  0.1479  0.1479  0.7500
Al  0.7531  0.5061  0.0000
Al  0.0000  0.1597  0.8854
Al  0.7531  0.5061  0.5000
Al  0.4494  0.8527  0.2500
Nd  0.4694  0.0000  0.5951
Nd  0.0000  0.4694  0.5951
Al  0.4032  0.8527  0.7500
Al  0.0000  0.1597  0.6146
W  0.0000  0.2683  0.7500
Nd  0.4694  0.4694  0.0951
Al  0.2517  0.2517  0.9693
Al  0.6667  0.3333  0.1264
Al  0.6067  0.7646  0.3351
Nd  0.0000  0.5306  0.4049
Al  0.7646  0.6067  0.1649
Al  0.7646  0.1580  0.8351
Al  0.8420  0.2354  0.3351
Al  0.4032  0.5506  0.2500
Al  0.6667  0.3333  0.3736
Al  0.0000  0.8403  0.3854
Al  0.8420  0.2354  0.1649
Al  0.7646  0.6067  0.3351
Al  0.2469  0.7531  0.0000
Al  0.8420  0.6067  0.8351
Al  0.6067  0.8420  0.6649
W  0.2683  0.0000  0.7500
Al  0.7646  0.1580  0.6649
Al  0.1473  0.5968  0.2500
Al  0.3933  0.2354  0.8351
Al  0.7483  0.0000  0.5307
Nd  0.5306  0.0000  0.4049
Al  0.3933  0.2354  0.6649
Al  0.5968  0.4494  0.7500
Al  0.0000  0.7483  0.5307
Al  0.7483  0.0000  0.9693
Al  0.3333  0.6667  0.8736
W  0.7317  0.7317  0.7500
Al  0.3933  0.1580  0.3351
Al  0.1580  0.3933  0.3351
Al  0.2517  0.0000  0.4693
Al  0.5061  0.7531  0.5000
Al  0.8403  0.8403  0.8854
Al  0.5506  0.1473  0.7500
Al  0.8403  0.0000  0.1146
Al  0.1597  0.0000  0.6146
Al  0.2469  0.7531  0.5000
Al  0.6067  0.7646  0.1649
W  0.0000  0.7317  0.2500
Al  0.0000  0.2517  0.0307
Al  0.7531  0.2469  0.5000
Al  0.1597  0.1597  0.1146
Al  0.2354  0.3933  0.8351
Nd  0.5306  0.5306  0.5951
Al  0.1580  0.7646  0.8351
Al  0.7483  0.7483  0.4693

DFT formation energy   -0.270 eV/atom
Space-group type   P6_3/mcm (193)
DOS(E_F)   0.405 states/eV/atom
Energy   -552.92 eV per cell
V   17.63 Å³ per atom
Theoretical density   4.91 g/cm3